Record 1
{"formula": "Mo2IrCl", "functional": "PBE", "state": "relaxed", "volume_a3_per_fu": 61, "relative_energy_mev_per_atom": 378.1, "formation_energy_uncorrected_ev_per_atom": 0.53, "lattice_angstrom": [[0.0000, 3.1320, 3.1320], [3.1320, 0.0000, 3.1320], [3.1320, 3.1320, 0.0000]], "species": ["Mo", "Mo", "Ir", "Cl"], "frac_coords": [[0.2500, 0.2500, 0.2500], [0.7500, 0.7500, 0.7500], [0.0000, 0.0000, 0.0000], [0.5000, 0.5000, 0.5000]]}

=====

Record 2
{"formula": "Mo2IrCl", "functional": "PBE", "state": "relaxed", "volume_a3_per_fu": 68, "relative_energy_mev_per_atom": 58.4, "formation_energy_uncorrected_ev_per_atom": 0.21, "lattice_angstrom": [[2.8541, 0.0000, 0.0000], [0.0000, 2.8541, 0.0000], [0.0000, 0.0000, 8.3713]], "species": ["Mo", "Mo", "Ir", "Cl"], "frac_coords": [[0.0000, 0.0000, 0.0000], [0.5000, 0.5000, 0.2512], [0.5000, 0.5000, 0.7976], [0.0000, 0.0000, 0.4472]]}

=====

Record 3
{"formula": "Mo2IrCl", "functional": "PBE", "state": "relaxed", "volume_a3_per_fu": 63, "relative_energy_mev_per_atom": 755.4, "formation_energy_uncorrected_ev_per_atom": 0.91, "lattice_angstrom": [[-1.8938, 1.8938, 4.4087], [1.8938, -1.8938, 4.4087], [1.8938, 1.8938, -4.4087]], "species": ["Mo", "Mo", "Ir", "Cl"], "frac_coords": [[0.0000, 0.0000, 0.0000], [0.7500, 0.2500, 0.5000], [0.5000, 0.5000, 0.0000], [0.2500, 0.7500, 0.5000]]}

=====

Record 4
{"formula": "Mo2IrCl", "functional": "PBE", "state": "relaxed", "volume_a3_per_fu": 65, "relative_energy_mev_per_atom": 185.2, "formation_energy_uncorrected_ev_per_atom": 0.34, "lattice_angstrom": [[5.2500, -1.4064, 0.0000], [5.2500, 1.4064, 0.0000], [-0.7910, 0.0000, 4.3733]], "species": ["Mo", "Mo", "Ir", "Cl"], "frac_coords": [[0.0000, 0.0000, 0.0000], [0.7026, 0.7026, 0.3757], [0.4285, 0.4285, 0.4588], [0.2003, 0.2003, 0.8229]]}

=====

Record 5
{"formula": "Ni2MoIrCl", "functional": "PBE", "state": "relaxed", "volume_a3_per_fu": 100, "formation_energy_uncorrected_ev_per_atom": 1.53, "lattice_angstrom": [[4.5830, 0.0000, 0.0000], [0.0000, 4.5830, 0.0000], [0.0000, 0.0000, 4.7381]], "species": ["Ni", "Ni", "Mo", "Ir", "Cl"], "frac_coords": [[0.0000, 0.5000, 0.0000], [0.5000, 0.0000, 0.0000], [0.0000, 0.0000, 0.0000], [0.0000, 0.0000, 0.5000], [0.5000, 0.5000, 0.5000]]}

=====

Record 6
{"formula": "MoPIrCl2", "functional": "PBE", "state": "relaxed", "volume_a3_per_fu": 113, "relative_energy_mev_per_atom": 0.0, "formation_energy_uncorrected_ev_per_atom": 0.88, "lattice_angstrom": [[5.0468, 0.0000, 0.0000], [0.0000, 5.0468, 0.0000], [0.0000, 0.0000, 4.4451]], "species": ["Mo", "P", "Ir", "Cl", "Cl"], "frac_coords": [[0.0000, 0.0000, 0.0000], [0.5000, 0.5000, 0.0000], [0.5000, 0.5000, 0.5000], [0.0000, 0.5000, 0.5000], [0.5000, 0.0000, 0.5000]]}

=====

Record 7
{"formula": "MoP2IrCl", "functional": "PBE", "state": "relaxed", "volume_a3_per_fu": 104, "relative_energy_mev_per_atom": 0.0, "formation_energy_uncorrected_ev_per_atom": 1.02, "lattice_angstrom": [[4.5665, 0.0000, 0.0000], [0.0000, 4.5665, 0.0000], [0.0000, 0.0000, 4.9957]], "species": ["Mo", "P", "P", "Ir", "Cl"], "frac_coords": [[0.0000, 0.0000, 0.0000], [0.0000, 0.5000, 0.5000], [0.5000, 0.0000, 0.5000], [0.5000, 0.5000, 0.5000], [0.5000, 0.5000, 0.0000]]}

=====

Record 8
{"formula": "MoP2IrCl", "functional": "PBE", "state": "relaxed", "volume_a3_per_fu": 101, "relative_energy_mev_per_atom": 105.9, "formation_energy_uncorrected_ev_per_atom": 1.12, "lattice_angstrom": [[4.7097, 0.0000, 0.0000], [0.0000, 4.7097, 0.0000], [0.0000, 0.0000, 4.5593]], "species": ["Mo", "P", "P", "Ir", "Cl"], "frac_coords": [[0.0000, 0.0000, 0.0000], [0.0000, 0.5000, 0.0000], [0.5000, 0.0000, 0.0000], [0.5000, 0.5000, 0.5000], [0.0000, 0.0000, 0.5000]]}

=====

Record 9
{"formula": "MoPIrCl2", "functional": "PBE", "state": "relaxed", "volume_a3_per_fu": 105, "relative_energy_mev_per_atom": 185.0, "formation_energy_uncorrected_ev_per_atom": 1.07, "lattice_angstrom": [[4.5632, 0.0000, 0.0000], [0.0000, 4.5632, 0.0000], [0.0000, 0.0000, 5.0287]], "species": ["Mo", "P", "Ir", "Cl", "Cl"], "frac_coords": [[0.0000, 0.0000, 0.0000], [0.0000, 0.0000, 0.5000], [0.5000, 0.5000, 0.5000], [0.0000, 0.5000, 0.0000], [0.5000, 0.0000, 0.0000]]}

=====

Record 10
{"formula": "MoIrSCl2", "functional": "PBE", "state": "relaxed", "volume_a3_per_fu": 109, "relative_energy_mev_per_atom": 141.1, "formation_energy_uncorrected_ev_per_atom": 0.93, "lattice_angstrom": [[4.8409, 0.0000, 0.0000], [0.0000, 4.8409, 0.0000], [0.0000, 0.0000, 4.6634]], "species": ["Mo", "Ir", "S", "Cl", "Cl"], "frac_coords": [[0.0000, 0.0000, 0.0000], [0.5000, 0.5000, 0.5000], [0.0000, 0.0000, 0.5000], [0.0000, 0.5000, 0.0000], [0.5000, 0.0000, 0.0000]]}

=====

Record 11
{"formula": "MoIrSCl2", "functional": "PBE", "state": "relaxed", "volume_a3_per_fu": 112, "relative_energy_mev_per_atom": 0.0, "formation_energy_uncorrected_ev_per_atom": 0.79, "lattice_angstrom": [[4.9943, 0.0000, 0.0000], [0.0000, 4.9943, 0.0000], [0.0000, 0.0000, 4.4736]], "species": ["Mo", "Ir", "S", "Cl", "Cl"], "frac_coords": [[0.0000, 0.0000, 0.0000], [0.5000, 0.5000, 0.5000], [0.5000, 0.5000, 0.0000], [0.0000, 0.5000, 0.5000], [0.5000, 0.0000, 0.5000]]}

=====

Record 12
{"formula": "MoIr2SeCl", "functional": "PBE", "state": "relaxed", "volume_a3_per_fu": 107, "formation_energy_uncorrected_ev_per_atom": 1.50, "lattice_angstrom": [[4.5677, 0.0000, 0.0000], [0.0000, 4.5677, 0.0000], [0.0000, 0.0000, 5.1409]], "species": ["Mo", "Ir", "Ir", "Se", "Cl"], "frac_coords": [[0.0000, 0.0000, 0.0000], [0.0000, 0.5000, 0.5000], [0.5000, 0.0000, 0.5000], [0.5000, 0.5000, 0.5000], [0.5000, 0.5000, 0.0000]]}

=====

Record 13
{"formula": "ZrMoIr2Cl", "functional": "PBE", "state": "relaxed", "volume_a3_per_fu": 116, "formation_energy_uncorrected_ev_per_atom": 1.14, "lattice_angstrom": [[4.6776, 0.0000, 0.0000], [0.0000, 4.6776, 0.0000], [0.0000, 0.0000, 5.3240]], "species": ["Zr", "Mo", "Ir", "Ir", "Cl"], "frac_coords": [[0.0000, 0.0000, 0.0000], [0.0000, 0.0000, 0.5000], [0.0000, 0.5000, 0.5000], [0.5000, 0.0000, 0.5000], [0.5000, 0.5000, 0.0000]]}

=====

Record 14
{"formula": "IrNCl3", "functional": "PBE", "state": "relaxed", "volume_a3_per_fu": 105, "relative_energy_mev_per_atom": 1683.6, "formation_energy_uncorrected_ev_per_atom": 1.46, "lattice_angstrom": [[4.7230, 0.0000, 0.0000], [0.0000, 4.7230, 0.0000], [0.0000, 0.0000, 4.7230]], "species": ["Ir", "N", "Cl", "Cl", "Cl"], "frac_coords": [[0.0000, 0.0000, 0.0000], [0.5000, 0.5000, 0.5000], [0.0000, 0.0000, 0.5000], [0.0000, 0.5000, 0.0000], [0.5000, 0.0000, 0.0000]]}

=====

Record 15
{"formula": "IrN2Cl4", "functional": "PBE", "state": "relaxed", "volume_a3_per_fu": 197, "formation_energy_uncorrected_ev_per_atom": -0.27, "lattice_angstrom": [[3.5321, 0.0000, 0.0000], [1.2435, 7.0148, 0.0000], [1.5382, 1.0021, 7.9325]], "species": ["Ir", "N", "N", "Cl", "Cl", "Cl", "Cl"], "frac_coords": [[0.0000, 0.0000, 0.0000], [0.0097, 0.5199, 0.4306], [0.9903, 0.4801, 0.5694], [0.1449, 0.9257, 0.7290], [0.4521, 0.2215, 0.9308], [0.5479, 0.7785, 0.0692], [0.8551, 0.0743, 0.2710]]}

=====

Record 16
{"formula": "IrN2Cl5", "functional": "PBE", "state": "relaxed", "volume_a3_per_fu": 245, "formation_energy_uncorrected_ev_per_atom": -0.13, "lattice_angstrom": [[5.8559, -4.6156, 0.0000], [5.8559, 4.6156, 0.0000], [-2.1457, 0.0000, 4.5328]], "species": ["Ir", "N", "N", "Cl", "Cl", "Cl", "Cl", "Cl"], "frac_coords": [[0.0000, 0.0000, 0.0000], [0.4993, 0.4993, 0.3782], [0.5005, 0.5005, 0.6015], [0.0000, 0.0000, 0.4999], [0.0224, 0.6738, 0.8484], [0.3263, 0.9771, 0.1514], [0.6738, 0.0224, 0.8484], [0.9771, 0.3263, 0.1514]]}

=====

Record 17
{"formula": "IrN2Cl6", "functional": "PBE", "state": "relaxed", "volume_a3_per_fu": 240, "formation_energy_uncorrected_ev_per_atom": 0.97, "lattice_angstrom": [[0.0000, 4.9345, 4.9345], [4.9345, 0.0000, 4.9345], [4.9345, 4.9345, 0.0000]], "species": ["Ir", "N", "N", "Cl", "Cl", "Cl", "Cl", "Cl", "Cl"], "frac_coords": [[0.0000, 0.0000, 0.0000], [0.2500, 0.2500, 0.2500], [0.7500, 0.7500, 0.7500], [0.2327, 0.2327, 0.7673], [0.2327, 0.7673, 0.2327], [0.2327, 0.7673, 0.7673], [0.7673, 0.2327, 0.2327], [0.7673, 0.2327, 0.7673], [0.7673, 0.7673, 0.2327]]}

=====

Record 18
{"formula": "IrNCl3", "functional": "PBE", "state": "relaxed", "volume_a3_per_fu": 147, "relative_energy_mev_per_atom": 0.0, "formation_energy_uncorrected_ev_per_atom": -0.22, "lattice_angstrom": [[6.5649, 0.0000, 0.0000], [-0.1087, 7.1879, 0.0000], [-0.0831, -0.0951, 12.4655]], "species": ["Ir", "Ir", "Ir", "Ir", "N", "N", "N", "N", "Cl", "Cl", "Cl", "Cl", "Cl", "Cl", "Cl", "Cl", "Cl", "Cl", "Cl", "Cl"], "frac_coords": [[0.1214, 0.0714, 0.1183], [0.1215, 0.9320, 0.3826], [0.8785, 0.0680, 0.6174], [0.8786, 0.9286, 0.8817], [0.3695, 0.9885, 0.2966], [0.3695, 0.0217, 0.2061], [0.6305, 0.9783, 0.7939], [0.6305, 0.0115, 0.7034], [0.0138, 0.2106, 0.2817], [0.0139, 0.7896, 0.2185], [0.2047, 0.0939, 0.5432], [0.2048, 0.9120, 0.9582], [0.2262, 0.3448, 0.0407], [0.2267, 0.6614, 0.4609], [0.7733, 0.3386, 0.5391], [0.7738, 0.6552, 0.9593], [0.7952, 0.0880, 0.0418], [0.7953, 0.9061, 0.4568], [0.9861, 0.2104, 0.7815], [0.9862, 0.7894, 0.7183]]}

=====

Record 19
{"formula": "IrNCl3", "functional": "PBE", "state": "relaxed", "volume_a3_per_fu": 84, "relative_energy_mev_per_atom": 1976.5, "formation_energy_uncorrected_ev_per_atom": 1.75, "lattice_angstrom": [[4.3798, 0.0000, 0.0000], [0.0000, 4.3798, 0.0000], [0.0000, 0.0000, 4.3798]], "species": ["Ir", "N", "Cl", "Cl", "Cl"], "frac_coords": [[0.0000, 0.0000, 0.0000], [0.5000, 0.5000, 0.5000], [0.0000, 0.5000, 0.5000], [0.5000, 0.0000, 0.5000], [0.5000, 0.5000, 0.0000]]}

=====

Record 20
{"formula": "Nd4IrNCl2", "functional": "PBE", "state": "relaxed", "volume_a3_per_fu": 197, "formation_energy_uncorrected_ev_per_atom": -1.25, "lattice_angstrom": [[7.0033, 0.0000, 0.0000], [0.0000, 3.8430, 0.0000], [-2.4307, 0.0000, 7.3070]], "species": ["Nd", "Nd", "Nd", "Nd", "Ir", "N", "Cl", "Cl"], "frac_coords": [[0.2081, 0.0000, 0.1920], [0.2419, 0.5000, 0.7996], [0.7581, 0.5000, 0.2004], [0.7919, 0.0000, 0.8080], [0.5000, 0.0000, 0.0000], [0.0000, 0.5000, 0.0000], [0.0000, 0.0000, 0.5000], [0.5000, 0.5000, 0.5000]]}

=====

Record 21
{"formula": "PIrNCl2", "functional": "PBE", "state": "relaxed", "volume_a3_per_fu": 74, "relative_energy_mev_per_atom": 41.9, "formation_energy_uncorrected_ev_per_atom": 1.62, "lattice_angstrom": [[4.0642, 0.0000, 0.0000], [0.0000, 4.0642, 0.0000], [0.0000, 0.0000, 4.4587]], "species": ["P", "Ir", "N", "Cl", "Cl"], "frac_coords": [[0.0000, 0.0000, 0.0000], [0.5000, 0.5000, 0.0000], [0.0000, 0.0000, 0.5000], [0.0000, 0.5000, 0.5000], [0.5000, 0.0000, 0.5000]]}

=====

Record 22
{"formula": "PIrNCl2", "functional": "PBE", "state": "relaxed", "volume_a3_per_fu": 103, "relative_energy_mev_per_atom": 0.0, "formation_energy_uncorrected_ev_per_atom": 1.57, "lattice_angstrom": [[4.7887, 0.0000, 0.0000], [0.0000, 4.7887, 0.0000], [0.0000, 0.0000, 4.5131]], "species": ["P", "Ir", "N", "Cl", "Cl"], "frac_coords": [[0.0000, 0.0000, 0.0000], [0.0000, 0.0000, 0.5000], [0.5000, 0.5000, 0.0000], [0.0000, 0.5000, 0.5000], [0.5000, 0.0000, 0.5000]]}

=====

Record 23
{"formula": "Pm6Ir2NCl3", "functional": "PBE", "state": "relaxed", "volume_a3_per_fu": 307, "formation_energy_uncorrected_ev_per_atom": -1.26, "lattice_angstrom": [[3.4603, -5.9939, 0.0000], [3.4603, 5.9939, 0.0000], [-2.1146, 0.0000, 7.4095]], "species": ["Pm", "Pm", "Pm", "Pm", "Pm", "Pm", "Ir", "Ir", "N", "Cl", "Cl", "Cl"], "frac_coords": [[0.0598, 0.3693, 0.1931], [0.2564, 0.2564, 0.8042], [0.3693, 0.0598, 0.1931], [0.6307, 0.9402, 0.8069], [0.7436, 0.7436, 0.1958], [0.9402, 0.6307, 0.8069], [0.3321, 0.6679, 0.0000], [0.6679, 0.3321, 0.0000], [0.0000, 0.0000, 0.0000], [0.1537, 0.8463, 0.5000], [0.5000, 0.5000, 0.5000], [0.8463, 0.1537, 0.5000]]}

=====

Record 24
{"formula": "Pr4IrNCl2", "functional": "PBE", "state": "relaxed", "volume_a3_per_fu": 201, "formation_energy_uncorrected_ev_per_atom": -1.24, "lattice_angstrom": [[7.0541, 0.0000, 0.0000], [0.0000, 3.8679, 0.0000], [-2.4281, 0.0000, 7.3697]], "species": ["Pr", "Pr", "Pr", "Pr", "Ir", "N", "Cl", "Cl"], "frac_coords": [[0.2073, 0.0000, 0.1927], [0.2436, 0.5000, 0.7984], [0.7564, 0.5000, 0.2016], [0.7927, 0.0000, 0.8073], [0.5000, 0.0000, 0.0000], [0.0000, 0.5000, 0.0000], [0.0000, 0.0000, 0.5000], [0.5000, 0.5000, 0.5000]]}

=====

Record 25
{"formula": "IrRhN2Cl", "functional": "PBE", "state": "relaxed", "volume_a3_per_fu": 76, "formation_energy_uncorrected_ev_per_atom": 1.40, "lattice_angstrom": [[3.6927, 0.0000, 0.0000], [0.0000, 3.6927, 0.0000], [0.0000, 0.0000, 5.6046]], "species": ["Ir", "Rh", "N", "N", "Cl"], "frac_coords": [[0.0000, 0.0000, 0.0000], [0.0000, 0.0000, 0.5000], [0.0000, 0.5000, 0.5000], [0.5000, 0.0000, 0.5000], [0.5000, 0.5000, 0.0000]]}

=====

Record 26
{"formula": "IrRu2N10Cl10", "functional": "PBE", "state": "relaxed", "volume_a3_per_fu": 744, "formation_energy_uncorrected_ev_per_atom": 0.13, "lattice_angstrom": [[5.8572, -4.1057, 0.0000], [5.8572, 4.1057, 0.0000], [-5.6779, 0.0000, 15.4681]], "species": ["Ir", "Ru", "Ru", "N", "N", "N", "N", "N", "N", "N", "N", "N", "N", "Cl", "Cl", "Cl", "Cl", "Cl", "Cl", "Cl", "Cl", "Cl", "Cl"], "frac_coords": [[0.0000, 0.0000, 0.0000], [0.1685, 0.1685, 0.5966], [0.8315, 0.8315, 0.4034], [0.1065, 0.7986, 0.4722], [0.1779, 0.1779, 0.7054], [0.2014, 0.8935, 0.5278], [0.3775, 0.5131, 0.2130], [0.4869, 0.6225, 0.7870], [0.5131, 0.3775, 0.2130], [0.6225, 0.4869, 0.7870], [0.7986, 0.1065, 0.4722], [0.8221, 0.8221, 0.2946], [0.8935, 0.2014, 0.5278], [0.0851, 0.0851, 0.1513], [0.0906, 0.0906, 0.7648], [0.1926, 0.1926, 0.9926], [0.2795, 0.7205, 0.0000], [0.3367, 0.3367, 0.5573], [0.6633, 0.6633, 0.4427], [0.7205, 0.2795, 0.0000], [0.8074, 0.8074, 0.0074], [0.9094, 0.9094, 0.2352], [0.9149, 0.9149, 0.8487]]}